The following is a DFT calculation (SCAN) of a PBEsol-optimized structure of TbNi.

Unit cell a=6.8913 b=4.1698 c=5.3138 alpha=90.00 beta=90.00 gamma=90.00
Atoms (fractional coordinates):
Tb: 0.1803 0.2500 0.1327
Tb: 0.3197 0.7500 0.6327
Tb: 0.6803 0.2500 0.3673
Tb: 0.8197 0.7500 0.8673
Ni: 0.0373 0.2500 0.6268
Ni: 0.4627 0.7500 0.1268
Ni: 0.5373 0.2500 0.8732
Ni: 0.9627 0.7500 0.3732

Volume: 19.1 Å³/atom
SG: Pnma
E_form: -0.44 eV/atom

***

The following is a DFT calculation (SCAN) of a PBEsol-optimized structure of TbNi5.

Unit cell a=4.7999 b=4.7999 c=3.9016 alpha=90.00 beta=90.00 gamma=120.00
Atoms (fractional coordinates):
Tb: 0.0000 0.0000 0.0000
Ni: 0.0000 0.5000 0.5000
Ni: 0.3333 0.6667 0.0000
Ni: 0.5000 0.0000 0.5000
Ni: 0.5000 0.5000 0.5000
Ni: 0.6667 0.3333 0.0000

Volume: 13.0 Å³/atom
SG: P6/mmm
E_form: -0.31 eV/atom

***

The following is a DFT calculation (SCAN) of a PBEsol-optimized structure of Tb3Ni2.

Unit cell a=6.8009 b=6.8009 c=9.3958 alpha=105.14 beta=105.14 gamma=30.78
Atoms (fractional coordinates):
Tb: 0.0975 0.0975 0.1740
Tb: 0.3556 0.3556 0.1308
Tb: 0.3684 0.3684 0.5013
Tb: 0.6316 0.6316 0.4987
Tb: 0.6444 0.6444 0.8692
Tb: 0.9025 0.9025 0.8260
Ni: 0.0348 0.0348 0.6440
Ni: 0.2432 0.2432 0.7275
Ni: 0.7568 0.7568 0.2725
Ni: 0.9652 0.9652 0.3560

Volume: 21.4 Å³/atom
SG: C2/m
E_form: -0.37 eV/atom

***

Per-record total energy, eV per cell: -255.23, -129.52, -348.93